# 1
This record from OQMD via LeMat-Bulk describes an optimized crystal structure of PaAlW. The functional is PBE.

Geometry as POSCAR:
```
PaAlW
1.0
6.406 0.000 0.000
0.000 6.406 0.000
0.000 0.000 6.406
Pa Al W
4 4 4
Direct
0.000 0.000 0.000
0.000 0.500 0.500
0.500 0.000 0.500
0.500 0.500 0.000
0.250 0.250 0.250
0.250 0.750 0.750
0.750 0.250 0.750
0.750 0.750 0.250
0.000 0.000 0.500
0.000 0.500 0.000
0.500 0.000 0.000
0.500 0.500 0.500
```

Output
DFT total energy = -24.2 eV per formula unit
excess energy over the best structure of this formula in the dataset = 0 meV per atom

# 2
This record from OQMD via LeMat-Bulk describes an optimized crystal structure of DyY3P4. The functional is PBE.

Geometry as POSCAR:
```
DyY3P4
1.0
8.018 0.000 0.000
0.000 11.339 0.000
0.000 0.000 4.010
Dy Y P
2 6 8
Direct
0.000 0.000 0.000
0.500 0.500 0.000
0.000 0.500 0.000
0.250 0.250 0.500
0.250 0.750 0.500
0.500 0.000 0.000
0.750 0.250 0.500
0.750 0.750 0.500
0.000 0.250 0.000
0.000 0.750 0.000
0.250 0.000 0.500
0.250 0.500 0.500
0.500 0.250 0.000
0.500 0.750 0.000
0.750 0.000 0.500
0.750 0.500 0.500
```

Output
DFT total energy = -58.6 eV per formula unit

# 3
This record from OQMD via LeMat-Bulk describes an optimized crystal structure of ZrScFeSi. The functional is PBE.

Geometry as POSCAR:
```
ZrScFeSi
1.0
6.298 0.000 0.000
0.000 6.298 0.000
0.000 0.000 6.298
Zr Sc Fe Si
4 4 4 4
Direct
0.000 0.000 0.000
0.000 0.500 0.500
0.500 0.000 0.500
0.500 0.500 0.000
0.250 0.250 0.250
0.250 0.750 0.750
0.750 0.250 0.750
0.750 0.750 0.250
0.250 0.250 0.750
0.250 0.750 0.250
0.750 0.250 0.250
0.750 0.750 0.750
0.000 0.000 0.500
0.000 0.500 0.000
0.500 0.000 0.000
0.500 0.500 0.500
```

Output
DFT total energy = -29.3 eV per formula unit
excess energy over the best structure of this formula in the dataset = 0 meV per atom

# 4
This record from OQMD via LeMat-Bulk describes an optimized crystal structure of Ta2Sn2O5. The functional is PBE.

Geometry as POSCAR:
```
Ta2Sn2O5
1.0
4.010 0.000 0.000
0.000 4.010 0.000
0.000 0.000 7.607
Ta Sn O
2 2 5
Direct
0.000 0.000 0.228
0.000 0.000 0.772
0.500 0.500 0.000
0.500 0.500 0.500
0.000 0.000 0.500
0.000 0.500 0.257
0.000 0.500 0.743
0.500 0.000 0.257
0.500 0.000 0.743
```

Output
DFT total energy = -71.4 eV per formula unit
excess energy over the best structure of this formula in the dataset = 0 meV per atom

# 5
This record from OQMD via LeMat-Bulk describes an optimized crystal structure of SrTbCuTeS2. The functional is PBE.

Geometry as POSCAR:
```
SrTbCuTeS2
1.0
2.013 -7.105 0.000
2.013 7.105 0.000
0.000 0.000 10.926
Sr Tb Cu Te S
2 2 2 2 4
Direct
0.211 0.789 0.750
0.789 0.211 0.250
0.000 0.000 0.000
0.000 0.000 0.500
0.482 0.518 0.250
0.518 0.482 0.750
0.102 0.898 0.250
0.898 0.102 0.750
0.381 0.619 0.080
0.381 0.619 0.420
0.619 0.381 0.580
0.619 0.381 0.920
```

Output
DFT total energy = -30.4 eV per formula unit

# 6
This record from OQMD via LeMat-Bulk describes an optimized crystal structure of PPbAuO5. The functional is PBE.

Geometry as POSCAR:
```
PPbAuO5
1.0
5.881 0.000 0.000
-1.807 6.042 0.000
-2.149 -2.356 6.317
P Pb Au O
2 2 2 10
Direct
0.198 0.358 0.150
0.802 0.642 0.850
0.149 0.312 0.614
0.851 0.688 0.386
0.369 0.927 0.219
0.631 0.073 0.781
0.033 0.393 0.271
0.035 0.183 0.918
0.262 0.972 0.598
0.365 0.593 0.135
0.411 0.274 0.267
0.589 0.726 0.733
0.635 0.407 0.865
0.738 0.028 0.402
0.965 0.817 0.082
0.967 0.607 0.729
```

Output
DFT total energy = -47.1 eV per formula unit

# 7
This record from OQMD via LeMat-Bulk describes an optimized crystal structure of Ga2SiTc2. The functional is PBE.

Geometry as POSCAR:
```
Ga2SiTc2
1.0
6.405 0.000 0.000
0.000 6.405 0.000
0.000 0.000 3.719
Ga Si Tc
4 2 4
Direct
0.147 0.353 0.000
0.353 0.853 0.000
0.647 0.147 0.000
0.853 0.647 0.000
0.000 0.000 0.500
0.500 0.500 0.500
0.158 0.658 0.500
0.342 0.158 0.500
0.658 0.842 0.500
0.842 0.342 0.500
```

Output
DFT total energy = -33.1 eV per formula unit

# 8
This record from OQMD via LeMat-Bulk describes an optimized crystal structure of SrAl2Cu. The functional is PBE.

Geometry as POSCAR:
```
SrAl2Cu
1.0
6.840 0.000 0.000
0.000 6.840 0.000
0.000 0.000 6.840
Sr Al Cu
4 8 4
Direct
0.000 0.000 0.000
0.000 0.500 0.500
0.500 0.000 0.500
0.500 0.500 0.000
0.000 0.000 0.500
0.000 0.500 0.000
0.250 0.250 0.750
0.250 0.750 0.250
0.500 0.000 0.000
0.500 0.500 0.500
0.750 0.250 0.250
0.750 0.750 0.750
0.250 0.250 0.250
0.250 0.750 0.750
0.750 0.250 0.750
0.750 0.750 0.250
```

Output
DFT total energy = -12.8 eV per formula unit

# 9
This record from OQMD via LeMat-Bulk describes an optimized crystal structure of Hf2Ga2O5. The functional is PBE.

Geometry as POSCAR:
```
Hf2Ga2O5
1.0
3.964 0.000 0.000
0.000 3.964 0.000
0.000 0.000 6.087
Hf Ga O
2 2 5
Direct
0.000 0.000 0.000
0.000 0.000 0.500
0.500 0.500 0.196
0.500 0.500 0.804
0.000 0.500 0.237
0.000 0.500 0.763
0.500 0.000 0.237
0.500 0.000 0.763
0.500 0.500 0.500
```

Output
DFT total energy = -64.8 eV per formula unit
excess energy over the best structure of this formula in the dataset = 731 meV per atom

# 10
This record from OQMD via LeMat-Bulk describes an optimized crystal structure of PmErMg. The functional is PBE.

Geometry as POSCAR:
```
PmErMg
1.0
7.437 0.000 0.000
0.000 7.437 0.000
0.000 0.000 7.437
Pm Er Mg
4 4 4
Direct
0.000 0.000 0.000
0.000 0.500 0.500
0.500 0.000 0.500
0.500 0.500 0.000
0.000 0.000 0.500
0.000 0.500 0.000
0.500 0.000 0.000
0.500 0.500 0.500
0.250 0.250 0.750
0.250 0.750 0.250
0.750 0.250 0.250
0.750 0.750 0.750
```

Output
DFT total energy = -9.6 eV per formula unit
excess energy over the best structure of this formula in the dataset = 0 meV per atom

# 11
This record from OQMD via LeMat-Bulk describes an optimized crystal structure of SrTbNb. The functional is PBE.

Geometry as POSCAR:
```
SrTbNb
1.0
7.605 0.000 0.000
0.000 7.605 0.000
0.000 0.000 7.605
Sr Tb Nb
4 4 4
Direct
0.000 0.000 0.000
0.000 0.500 0.500
0.500 0.000 0.500
0.500 0.500 0.000
0.000 0.000 0.500
0.000 0.500 0.000
0.500 0.000 0.000
0.500 0.500 0.500
0.250 0.250 0.250
0.250 0.750 0.750
0.750 0.250 0.750
0.750 0.750 0.250
```

Output
DFT total energy = -13.0 eV per formula unit

# 12
This record from OQMD via LeMat-Bulk describes an optimized crystal structure of ZrSb2Te. The functional is PBE.

Geometry as POSCAR:
```
ZrSb2Te
1.0
7.406 0.000 0.000
0.000 7.406 0.000
0.000 0.000 7.406
Zr Sb Te
4 8 4
Direct
0.000 0.000 0.000
0.000 0.500 0.500
0.500 0.000 0.500
0.500 0.500 0.000
0.000 0.000 0.500
0.000 0.500 0.000
0.250 0.250 0.250
0.250 0.750 0.750
0.500 0.000 0.000
0.500 0.500 0.500
0.750 0.250 0.750
0.750 0.750 0.250
0.250 0.250 0.750
0.250 0.750 0.250
0.750 0.250 0.250
0.750 0.750 0.750
```

Output
DFT total energy = -19.9 eV per formula unit